Entry 1:
The following is a DFT calculation (PBE) of a relaxed structure of Tl2CrPb.

Geometry as POSCAR:
```
Tl2CrPb
1.0
4.4243 0.0000 0.0000
0.0000 4.4243 0.0000
2.2121 2.2121 11.3324
Cr Tl Pb
2 4 2
direct
0.5000 0.5000 0.0000
0.2500 0.7500 0.5000
0.3750 0.3839 0.7500
0.1339 0.6250 0.2500
0.6161 0.1250 0.2500
0.8750 0.8661 0.7500
0.0000 0.0000 0.0000
0.7500 0.2500 0.5000
```

E_tot (eV per atom): -4.0123
Volume (Å³/cell): 221.82
DOS at the Fermi energy (states/eV/f.u.): 2.62

=====

Entry 2:
The following is a DFT calculation (PBE) of a relaxed structure of Fe3HW.

Geometry as POSCAR:
```
Fe3HW
1.0
4.9228 0.0012 -0.0004
-1.4032 5.0135 -0.0016
-2.2209 -1.8964 3.9632
Fe H W
6 2 2
direct
0.2195 0.9725 0.1873
0.2089 0.4679 0.1830
0.1275 0.8054 0.6021
0.7190 0.4679 0.6931
0.6271 0.3009 0.1079
0.6376 0.8054 0.1122
0.6624 0.6142 0.3860
0.1842 0.6592 0.9092
0.6993 0.9762 0.7112
0.1473 0.2972 0.5840
```

E_tot (eV per atom): -8.2867
Volume (Å³/cell): 97.80
DOS at the Fermi energy (states/eV/f.u.): 3.85

=====

Entry 3:
The following is a DFT calculation (PBE) of a relaxed structure of LiCaPr2.

Geometry as POSCAR:
```
LiCaPr2
1.0
3.8365 0.0000 0.0000
0.0000 3.8365 0.0000
0.0000 0.0000 9.0803
Pr Ca Li
2 1 1
direct
0.0000 0.0000 0.7967
0.0000 0.0000 0.2033
0.5000 0.5000 0.5000
0.5000 0.5000 0.0000
```

E_tot (eV per atom): -3.2561
Volume (Å³/cell): 133.65
DOS at the Fermi energy (states/eV/f.u.): 6.23